one.
# PBE Zn2Ga2Ag3, optimized geometry
data_Zn2Ga2Ag3
_cell_length_a 3.4061
_cell_length_b 5.6653
_cell_length_c 6.7305
_cell_angle_alpha 73.71
_cell_angle_beta 90.00
_cell_angle_gamma 73.02
_space_group_name_H-M_alt 'P -1'
_space_group_IT_number 2
_space_group_name_Hall '-P 1'
loop_
_atom_site_label
_atom_site_fract_x
_atom_site_fract_y
_atom_site_fract_z
_atom_site_occupancy
Zn1 0.0653 0.3680 0.2183 1
Ga1 0.3610 0.7787 0.0739 1
Ag1 0.2258 0.0485 0.6560 1
Ag2 0.5000 0.5000 0.5000 1
# ρ: 8.3 g cm⁻³
# total magnetic moment: 0.0 μB/f.u.
# density of states at the Fermi level: 1.37 states/eV/f.u.

---

two.
# PBE Zn2Ga2Ag3, optimized geometry
data_Zn2Ga2Ag3
_cell_length_a 4.3547
_cell_length_b 19.1837
_cell_length_c 2.9040
_cell_angle_alpha 90.00
_cell_angle_beta 90.00
_cell_angle_gamma 90.00
_space_group_name_H-M_alt 'C m m m'
_space_group_IT_number 65
_space_group_name_Hall '-C 2 2'
loop_
_atom_site_label
_atom_site_fract_x
_atom_site_fract_y
_atom_site_fract_z
_atom_site_occupancy
Zn1 0.0000 0.1433 0.0000 1
Ga1 0.0000 0.2859 0.5000 1
Ag1 0.0000 0.0000 0.0000 1
Ag2 0.0000 0.4251 0.5000 1
# ρ: 8.1 g cm⁻³
# total magnetic moment: 0.0 μB/f.u.
# density of states at the Fermi level: 1.80 states/eV/f.u.

---

Result of the stability comparison: two is the least stable of them.

---

one.
# PBE Zn5Ga3Ag2, optimized geometry
data_Zn5Ga3Ag2
_cell_length_a 7.6460
_cell_length_b 11.7649
_cell_length_c 7.6542
_cell_angle_alpha 90.00
_cell_angle_beta 100.00
_cell_angle_gamma 90.00
_space_group_name_H-M_alt 'C 1 2/c 1'
_space_group_IT_number 15
_space_group_name_Hall '-C 2yc'
loop_
_atom_site_label
_atom_site_fract_x
_atom_site_fract_y
_atom_site_fract_z
_atom_site_occupancy
Zn1 0.0000 0.0552 0.2500 1
Zn2 0.1269 0.3654 0.6271 1
Zn3 0.2480 0.4440 0.9950 1
Ga1 0.0000 0.4426 0.2500 1
Ga2 0.1213 0.1378 0.6174 1
Ag1 0.1283 0.2506 0.1269 1
# ρ: 7.4 g cm⁻³
# total magnetic moment: 0.0 μB/f.u.
# density of states at the Fermi level: 1.29 states/eV/f.u.

---

two.
# PBE Zn5Ga3Ag2, optimized geometry
data_Zn5Ga3Ag2
_cell_length_a 10.4147
_cell_length_b 12.7170
_cell_length_c 5.4136
_cell_angle_alpha 90.00
_cell_angle_beta 90.00
_cell_angle_gamma 90.00
_space_group_name_H-M_alt 'I b a m'
_space_group_IT_number 72
_space_group_name_Hall '-I 2 2c'
loop_
_atom_site_label
_atom_site_fract_x
_atom_site_fract_y
_atom_site_fract_z
_atom_site_occupancy
Zn1 0.0000 0.0000 0.2500 1
Zn2 0.1379 0.3511 0.0000 1
Zn3 0.2426 0.0000 0.2500 1
Ga1 0.0000 0.5000 0.2500 1
Ga2 0.0547 0.1680 0.0000 1
Ag1 0.1713 0.3081 0.5000 1
# ρ: 7.0 g cm⁻³
# total magnetic moment: 0.0 μB/f.u.
# density of states at the Fermi level: 2.15 states/eV/f.u.

---

Result of the stability comparison: two is the least stable of them.

---

one.
# PBE Zn3GaAg2, optimized geometry
data_Zn3GaAg2
_cell_length_a 5.3152
_cell_length_b 5.3561
_cell_length_c 7.6875
_cell_angle_alpha 96.84
_cell_angle_beta 95.61
_cell_angle_gamma 115.02
_space_group_name_H-M_alt 'P -1'
_space_group_IT_number 2
_space_group_name_Hall '-P 1'
loop_
_atom_site_label
_atom_site_fract_x
_atom_site_fract_y
_atom_site_fract_z
_atom_site_occupancy
Zn1 0.0121 0.2679 0.0583 1
Zn2 0.1476 0.9058 0.6143 1
Zn3 0.1841 0.4307 0.7248 1
Ga1 0.3154 0.0693 0.2776 1
Ag1 0.3350 0.5968 0.3919 1
Ag2 0.4794 0.2321 0.9407 1
# ρ: 8.2 g cm⁻³
# total magnetic moment: 0.0 μB/f.u.
# density of states at the Fermi level: 1.03 states/eV/f.u.

---

two.
# PBE Zn3GaAg2, optimized geometry
data_Zn3GaAg2
_cell_length_a 5.7119
_cell_length_b 9.1106
_cell_length_c 15.2315
_cell_angle_alpha 90.00
_cell_angle_beta 90.00
_cell_angle_gamma 90.00
_space_group_name_H-M_alt 'F m m m'
_space_group_IT_number 69
_space_group_name_Hall '-F 2 2'
loop_
_atom_site_label
_atom_site_fract_x
_atom_site_fract_y
_atom_site_fract_z
_atom_site_occupancy
Zn1 0.0000 0.0000 0.1646 1
Zn2 0.0000 0.2483 0.0835 1
Ga1 0.0000 0.0000 0.3335 1
Ag1 0.2495 0.0000 0.0000 1
Ag2 0.2500 0.2500 0.2500 1
# ρ: 8.1 g cm⁻³
# total magnetic moment: 0.0 μB/f.u.
# density of states at the Fermi level: 1.02 states/eV/f.u.

---

Result of the stability comparison: two is the least stable of them.

---

one.
# PBE Zn5Ga2Ag5, optimized geometry
data_Zn5Ga2Ag5
_cell_length_a 12.3108
_cell_length_b 3.9669
_cell_length_c 8.9384
_cell_angle_alpha 90.00
_cell_angle_beta 114.85
_cell_angle_gamma 90.00
_space_group_name_H-M_alt 'C 1 2/m 1'
_space_group_IT_number 12
_space_group_name_Hall '-C 2y'
loop_
_atom_site_label
_atom_site_fract_x
_atom_site_fract_y
_atom_site_fract_z
_atom_site_occupancy
Zn1 0.0000 0.0000 0.0000 1
Zn2 0.0901 0.0000 0.7536 1
Zn3 0.1641 0.0000 0.4997 1
Ga1 0.0830 0.5000 0.2557 1
Ag1 0.0000 0.5000 0.5000 1
Ag2 0.1593 0.5000 0.9946 1
Ag3 0.2468 0.0000 0.2593 1
# ρ: 8.4 g cm⁻³
# total magnetic moment: 0.0 μB/f.u.
# density of states at the Fermi level: 2.90 states/eV/f.u.

---

two.
# PBE Zn5Ga2Ag5, optimized geometry
data_Zn5Ga2Ag5
_cell_length_a 13.9160
_cell_length_b 2.8410
_cell_length_c 11.3188
_cell_angle_alpha 90.00
_cell_angle_beta 109.93
_cell_angle_gamma 90.00
_space_group_name_H-M_alt 'C 1 2/m 1'
_space_group_IT_number 12
_space_group_name_Hall '-C 2y'
loop_
_atom_site_label
_atom_site_fract_x
_atom_site_fract_y
_atom_site_fract_z
_atom_site_occupancy
Zn1 0.0000 0.0000 0.0000 1
Zn2 0.1044 0.0000 0.3425 1
Zn3 0.2057 0.0000 0.1817 1
Ga1 0.0925 0.0000 0.7406 1
Ag1 0.0000 0.5000 0.5000 1
Ag2 0.1514 0.5000 0.9614 1
Ag3 0.2120 0.0000 0.5931 1
# ρ: 7.9 g cm⁻³
# total magnetic moment: 0.0 μB/f.u.
# density of states at the Fermi level: 2.61 states/eV/f.u.

---

Result of the stability comparison: two is the least stable of them.

---

one.
# PBE Zn5Ga5Ag2, optimized geometry
data_Zn5Ga5Ag2
_cell_length_a 13.3647
_cell_length_b 2.9033
_cell_length_c 11.0420
_cell_angle_alpha 90.00
_cell_angle_beta 103.06
_cell_angle_gamma 90.00
_space_group_name_H-M_alt 'C 1 2/m 1'
_space_group_IT_number 12
_space_group_name_Hall '-C 2y'
loop_
_atom_site_label
_atom_site_fract_x
_atom_site_fract_y
_atom_site_fract_z
_atom_site_occupancy
Zn1 0.0000 0.0000 0.0000 1
Zn2 0.1527 0.5000 0.1527 1
Zn3 0.1687 0.0000 0.6584 1
Ga1 0.0000 0.5000 0.5000 1
Ga2 0.1772 0.0000 0.4058 1
Ga3 0.1793 0.5000 0.8993 1
Ag1 0.0033 0.0000 0.7588 1
# ρ: 7.1 g cm⁻³
# total magnetic moment: 0.0 μB/f.u.
# density of states at the Fermi level: 2.81 states/eV/f.u.

---

two.
# PBE Zn5Ga5Ag2, optimized geometry
data_Zn5Ga5Ag2
_cell_length_a 12.6267
_cell_length_b 4.5065
_cell_length_c 7.7103
_cell_angle_alpha 90.00
_cell_angle_beta 106.74
_cell_angle_gamma 90.00
_space_group_name_H-M_alt 'C 1 2/m 1'
_space_group_IT_number 12
_space_group_name_Hall '-C 2y'
loop_
_atom_site_label
_atom_site_fract_x
_atom_site_fract_y
_atom_site_fract_z
_atom_site_occupancy
Zn1 0.0000 0.0000 0.0000 1
Zn2 0.0837 0.0000 0.3906 1
Zn3 0.2274 0.0000 0.1901 1
Ga1 0.0000 0.5000 0.5000 1
Ga2 0.1142 0.5000 0.9834 1
Ga3 0.1978 0.5000 0.3815 1
Ag1 0.1343 0.0000 0.7788 1
# ρ: 7.0 g cm⁻³
# total magnetic moment: 0.0 μB/f.u.
# density of states at the Fermi level: 3.40 states/eV/f.u.

---

Result of the stability comparison: one is the least stable of them.

---

one.
# PBE Zn2Ga2Ag, optimized geometry
data_Zn2Ga2Ag
_cell_length_a 3.8585
_cell_length_b 3.8585
_cell_length_c 12.1059
_cell_angle_alpha 90.00
_cell_angle_beta 90.00
_cell_angle_gamma 90.00
_space_group_name_H-M_alt 'I 4/m m m'
_space_group_IT_number 139
_space_group_name_Hall '-I 4 2'
loop_
_atom_site_label
_atom_site_fract_x
_atom_site_fract_y
_atom_site_fract_z
_atom_site_occupancy
Zn1 0.0000 0.5000 0.2500 1
Ga1 0.0000 0.0000 0.1023 1
Ag1 0.0000 0.0000 0.5000 1
# ρ: 7.0 g cm⁻³
# total magnetic moment: 0.0 μB/f.u.
# density of states at the Fermi level: 1.74 states/eV/f.u.

---

two.
# PBE Zn2Ga2Ag, optimized geometry
data_Zn2Ga2Ag
_cell_length_a 3.7830
_cell_length_b 3.7830
_cell_length_c 12.5263
_cell_angle_alpha 90.00
_cell_angle_beta 90.00
_cell_angle_gamma 90.00
_space_group_name_H-M_alt 'I 4/m m m'
_space_group_IT_number 139
_space_group_name_Hall '-I 4 2'
loop_
_atom_site_label
_atom_site_fract_x
_atom_site_fract_y
_atom_site_fract_z
_atom_site_occupancy
Zn1 0.0000 0.0000 0.0972 1
Ga1 0.0000 0.5000 0.2500 1
Ag1 0.0000 0.0000 0.5000 1
# ρ: 7.0 g cm⁻³
# total magnetic moment: 0.0 μB/f.u.
# density of states at the Fermi level: 1.96 states/eV/f.u.

---

Result of the stability comparison: one is the least stable of them.